# Sm3HoPu3S8 | Alexandria | PBE | relaxed
data_Sm3HoPu3S8
_chemical_formula_sum 'Sm3 Ho1 Pu3 S8'
_cell_length_a 7.937
_cell_length_b 7.937
_cell_length_c 7.937
_cell_angle_alpha 60.23
_cell_angle_beta 60.23
_cell_angle_gamma 60.23
_space_group_name_H-M_alt 'P 1'
_space_group_IT_number 1
loop_
_space_group_symop_operation_xyz
'x,y,z'
loop_
_atom_site_label
_atom_site_type_symbol
_atom_site_fract_x
_atom_site_fract_y
_atom_site_fract_z
_atom_site_occupancy
Sm1 Sm 0.000 0.500 0.500 1
Sm2 Sm 0.500 0.000 0.500 1
Sm3 Sm 0.500 0.500 0.000 1
Ho1 Ho 0.000 0.000 0.000 1
Pu1 Pu 0.000 0.000 0.500 1
Pu2 Pu 0.000 0.500 0.000 1
Pu3 Pu 0.500 0.000 0.000 1
S1 S 0.243 0.755 0.755 1
S2 S 0.245 0.245 0.757 1
S3 S 0.245 0.757 0.245 1
S4 S 0.248 0.248 0.248 1
S5 S 0.752 0.752 0.752 1
S6 S 0.755 0.243 0.755 1
S7 S 0.755 0.755 0.243 1
S8 S 0.757 0.245 0.245 1
# Theoretical density ... 7.5 Mg/m³
# D(E_F) ... 29.4 states/eV per cell
# Uncorrected formation energy ... -1.94 eV per atom
# DFT total energy ... -8.260 eV/atom

# Sm3Ho4PuS8 | Alexandria | PBE | relaxed
data_Sm3Ho4PuS8
_chemical_formula_sum 'Sm3 Ho4 Pu1 S8'
_cell_length_a 7.893
_cell_length_b 7.893
_cell_length_c 7.893
_cell_angle_alpha 59.79
_cell_angle_beta 59.79
_cell_angle_gamma 59.79
_space_group_name_H-M_alt 'P 1'
_space_group_IT_number 1
loop_
_space_group_symop_operation_xyz
'x,y,z'
loop_
_atom_site_label
_atom_site_type_symbol
_atom_site_fract_x
_atom_site_fract_y
_atom_site_fract_z
_atom_site_occupancy
Sm1 Sm 0.000 0.500 0.500 1
Sm2 Sm 0.500 0.000 0.500 1
Sm3 Sm 0.500 0.500 0.000 1
Ho1 Ho 0.000 0.000 0.500 1
Ho2 Ho 0.000 0.500 0.000 1
Ho3 Ho 0.500 0.000 0.000 1
Ho4 Ho 0.500 0.500 0.500 1
Pu1 Pu 0.000 0.000 0.000 1
S1 S 0.245 0.748 0.748 1
S2 S 0.246 0.246 0.246 1
S3 S 0.252 0.252 0.755 1
S4 S 0.252 0.755 0.252 1
S5 S 0.748 0.245 0.748 1
S6 S 0.748 0.748 0.245 1
S7 S 0.754 0.754 0.754 1
S8 S 0.755 0.252 0.252 1
# Theoretical density ... 7.7 Mg/m³
# D(E_F) ... 12.5 states/eV per cell
# Uncorrected formation energy ... -1.98 eV per atom
# DFT total energy ... -6.970 eV/atom

# Sm2HoPuS4 | Alexandria | PBE | relaxed
data_Sm2HoPuS4
_chemical_formula_sum 'Sm2 Ho1 Pu1 S4'
_cell_length_a 6.867
_cell_length_b 3.948
_cell_length_c 6.882
_cell_angle_alpha 90.00
_cell_angle_beta 109.21
_cell_angle_gamma 90.00
_space_group_name_H-M_alt 'P 1'
_space_group_IT_number 1
loop_
_space_group_symop_operation_xyz
'x,y,z'
loop_
_atom_site_label
_atom_site_type_symbol
_atom_site_fract_x
_atom_site_fract_y
_atom_site_fract_z
_atom_site_occupancy
Sm1 Sm 0.000 0.000 0.000 1
Sm2 Sm 0.500 0.500 0.000 1
Ho1 Ho 0.000 0.500 0.500 1
Pu1 Pu 0.500 0.000 0.500 1
S1 S 0.244 0.000 0.741 1
S2 S 0.250 0.500 0.257 1
S3 S 0.750 0.500 0.743 1
S4 S 0.756 0.000 0.259 1
# Theoretical density ... 7.9 Mg/m³
# D(E_F) ... 8.0 states/eV per cell
# Uncorrected formation energy ... -1.97 eV per atom
# DFT total energy ... -7.574 eV/atom